Run i
Material: CaZr3Ge
Method: DFT, PBE-GGA
State: optimized geometry

Structure (extended XYZ):
```
5
Lattice="-2.182 -4.011 -2.444 4.694 -1.772 -1.283 0.157 -2.756 4.382" Properties=species:S:1:pos:R:3 pbc="T T T"
Ge 0.000 0.000 0.000
Ca 1.335 -4.269 0.327
Zr 2.347 -0.886 -0.642
Zr 0.079 -1.378 2.191
Zr -1.091 -2.005 -1.222
```

Properties
Crystal system = cubic

***

Run ii
Material: CaZr3Ge
Method: DFT, PBE-GGA
State: optimized geometry

Structure (extended XYZ):
```
5
Lattice="5.019 0.000 0.000 0.000 5.019 0.000 0.000 0.000 5.019" Properties=species:S:1:pos:R:3 pbc="T T T"
Ge 2.509 2.509 2.509
Ca 0.000 0.000 0.000
Zr 0.000 2.509 0.000
Zr 0.000 0.000 2.509
Zr 2.509 0.000 0.000
```

Properties
Crystal system = cubic

***

Which of them is least stable? Easy: run ii.